DFT (PBE) results for Hf4InTeC2 after structural relaxation.

Computed properties:
As for the theoretical density: 11.49 g/cm³. The total energy comes out at -8.776 eV per atom. The size of the total moment is 0.00 μB per atom.

abc: 3.415 3.415 14.027
angles: 90.00 90.00 120.00
Sites, in units of the cell vectors:
1 Hf 0.000 0.000 0.155
2 Hf 0.000 0.000 0.845
3 Hf 0.667 0.333 0.324
4 Hf 0.667 0.333 0.676
5 In 0.000 0.000 0.500
6 Te 0.667 0.333 0.000
7 C 0.333 0.667 0.240
8 C 0.333 0.667 0.760

=====

DFT (PBE) results for ZnPdNO after structural relaxation.

Computed properties:
The energy above the most stable polymorph in this dataset comes out at 212 meV/atom. As for the theoretical density: 7.97 g/cm³. The total energy comes out at -4.769 eV per atom.

abc: 3.111 3.111 4.342
angles: 90.00 90.00 90.00
Sites, in units of the cell vectors:
1 Zn 0.000 0.000 0.000
2 Pd 0.500 0.500 0.500
3 N 0.500 0.500 0.000
4 O 0.000 0.000 0.500

=====

- Look up the theoretical density of the second one.
  7.97 g/cm³